CeNi2SbO6, relaxed, DFT GGA+U; DOS(E_F) = 0.511 states/eV per atom; total magnetization = 0.482 μB per atom; total energy = -6.1889 eV/atom
1.0
5.4628 0.0000 0.0000
0.0000 5.6656 0.0000
-5.4039 0.0000 7.9922
Ce Ni Sb O
2 4 2 12
direct
0.0000 0.0000 0.0000 Ce
0.0000 0.5000 0.5000 Ce
0.2180 0.0214 0.7070 Ni
0.2180 0.4786 0.2070 Ni
0.7820 0.5214 0.7930 Ni
0.7820 0.9786 0.2930 Ni
0.5000 0.0000 0.5000 Sb
0.5000 0.5000 0.0000 Sb
0.1509 0.1521 0.4741 O
0.1509 0.3479 0.9741 O
0.2189 0.7211 0.3737 O
0.2189 0.7789 0.8737 O
0.4332 0.1461 0.2886 O
0.4332 0.3539 0.7886 O
0.5668 0.6461 0.2114 O
0.5668 0.8539 0.7114 O
0.7811 0.2211 0.1263 O
0.7811 0.2789 0.6263 O
0.8491 0.6521 0.0259 O
0.8491 0.8479 0.5259 O